# 1
Below is a relaxed TaCrIn2F crystal, with properties calculated at the GGA+U level.

It has space group P4/mmm (No. 123), with a = 5.6994 Å, b = 5.6994 Å, c = 4.0131 Å, α = 90.00°, β = 90.00° and γ = 90.00°. The inequivalent atoms are Ta at (0.0000, 0.0000, 0.0000), Cr at (0.5000, 0.5000, 0.5000), In at (0.0000, 0.5000, 0.0000) and F at (0.0000, 0.0000, 0.5000).

The density comes out at 6.134 g/cm3. Its total energy is -26.40 eV for the cell shown.

# 2
Below is a relaxed CrIn2TeF crystal, with properties calculated at the GGA+U level.

It has space group P4/mmm (No. 123), with a = 4.6819 Å, b = 4.6819 Å, c = 6.3837 Å, α = 90.00°, β = 90.00° and γ = 90.00°. The inequivalent atoms are Cr at (0.0000, 0.0000, 0.0000), In at (0.0000, 0.5000, 0.5000), Te at (0.5000, 0.5000, 0.0000) and F at (0.5000, 0.5000, 0.5000).

The density comes out at 5.082 g/cm3. Its total energy is -19.39 eV for the cell shown.

# 3
Below is a relaxed TiCrInF6 crystal, with properties calculated at the GGA+U level.

It has space group P-31c (No. 163), with a = 5.7091 Å, b = 5.7091 Å, c = 11.3396 Å, α = 90.00°, β = 90.00° and γ = 120.00°. The inequivalent atoms are Ti at (0.3333, 0.6667, 0.2500), Cr at (0.3333, 0.6667, 0.7500), In at (0.0000, 0.0000, 0.0000) and F at (0.0315, 0.3948, 0.1553).

The density comes out at 3.410 g/cm3. Its total energy is -105.87 eV for the cell shown.

# 4
Below is a relaxed Tl2CrInF6 crystal, with properties calculated at the GGA+U level.

It has space group Fm-3m (No. 225), with a = 9.0638 Å, b = 9.0638 Å, c = 9.0638 Å, α = 90.00°, β = 90.00° and γ = 90.00°. The inequivalent atoms are Tl at (0.2500, 0.2500, 0.2500), Cr at (0.0000, 0.0000, 0.0000), In at (0.0000, 0.0000, 0.5000) and F at (0.0000, 0.0000, 0.2161).

The density comes out at 6.151 g/cm3. Its total energy is -191.97 eV for the cell shown.

# 5
Below is a relaxed TlCrIn2F8 crystal, with properties calculated at the GGA+U level.

It has space group P-1 (No. 2), with a = 5.0562 Å, b = 5.1095 Å, c = 7.5554 Å, α = 107.50°, β = 104.77° and γ = 91.20°. The inequivalent atoms are Tl at (0.0000, 0.0000, 0.0000), Cr at (0.0000, 0.0000, 0.5000), In at (0.4273, 0.4227, 0.2101), F at (0.1872, 0.7795, 0.3186), F at (0.2538, 0.9126, 0.7108), F at (0.2642, 0.3224, 0.5418) and F at (0.2766, 0.5898, 0.9550).

The density comes out at 5.919 g/cm3. Its total energy is -57.63 eV for the cell shown.

# 6
Below is a relaxed TlCrIn2F6 crystal, with properties calculated at the GGA+U level.

It has space group P-1 (No. 2), with a = 6.0451 Å, b = 6.0757 Å, c = 6.0926 Å, α = 69.22°, β = 68.96° and γ = 68.88°. The inequivalent atoms are Tl at (0.0000, 0.0000, 0.0000), Cr at (0.5000, 0.5000, 0.5000), In at (0.2604, 0.2615, 0.2626), F at (0.1995, 0.6512, 0.3882), F at (0.3495, 0.6118, 0.7988) and F at (0.3864, 0.2024, 0.6466).

The density comes out at 5.295 g/cm3. Its total energy is -48.12 eV for the cell shown.

# 7
Below is a relaxed YCrIn2F crystal, with properties calculated at the GGA+U level.

It has space group P4/mmm (No. 123), with a = 5.3807 Å, b = 5.3807 Å, c = 3.9745 Å, α = 90.00°, β = 90.00° and γ = 90.00°. The inequivalent atoms are Y at (0.0000, 0.0000, 0.0000), Cr at (0.5000, 0.5000, 0.0000), In at (0.0000, 0.5000, 0.5000) and F at (0.5000, 0.5000, 0.5000).

The density comes out at 5.621 g/cm3. Its total energy is -24.55 eV for the cell shown.

# 8
Below is a relaxed ZnCr2InF6 crystal, with properties calculated at the GGA+U level.

It has space group P1 (No. 1), with a = 5.8588 Å, b = 5.9923 Å, c = 5.9937 Å, α = 117.52°, β = 95.39° and γ = 115.23°. The inequivalent atoms are Zn at (0.0000, 0.0000, 0.0000), Cr at (0.3386, 0.5859, 0.8538), Cr at (0.8495, 0.5783, 0.3385), In at (0.5779, 0.0738, 0.5853), F at (0.0250, 0.0227, 0.6421), F at (0.0770, 0.6328, 0.0396), F at (0.1444, 0.5877, 0.5572), F at (0.5477, 0.5821, 0.1429), F at (0.6301, 0.5939, 0.6896) and F at (0.6881, 0.1337, 0.0668).

The density comes out at 4.203 g/cm3. Its total energy is -50.58 eV for the cell shown.

# 9
Below is a relaxed CrIrF6 crystal, with properties calculated at the GGA+U level.

It has space group P-31c (No. 163), with a = 4.9690 Å, b = 4.9690 Å, c = 9.1978 Å, α = 90.00°, β = 90.00° and γ = 120.00°. The inequivalent atoms are Cr at (0.3333, 0.6667, 0.2500), Ir at (0.0000, 0.0000, 0.0000) and F at (0.0135, 0.3408, 0.1264).

The density comes out at 6.049 g/cm3. Its total energy is -86.78 eV for the cell shown.

# 10
Below is a relaxed Cr4IrF2 crystal, with properties calculated at the GGA+U level.

It has space group I4/mmm (No. 139), with a = 4.9107 Å, b = 4.9107 Å, c = 11.7506 Å, α = 90.00°, β = 90.00° and γ = 90.00°. The inequivalent atoms are Cr at (0.0000, 0.0000, 0.2256), Cr at (0.0000, 0.5000, 0.0000), Ir at (0.0000, 0.0000, 0.0000) and F at (0.0000, 0.0000, 0.3922).

The density comes out at 5.136 g/cm3. Its total energy is -85.88 eV for the cell shown.

# 11
Below is a relaxed Cr3IrF crystal, with properties calculated at the GGA+U level.

It has space group Pm-3m (No. 221), with a = 4.2893 Å, b = 4.2893 Å, c = 4.2893 Å, α = 90.00°, β = 90.00° and γ = 90.00°. The inequivalent atoms are Cr at (0.0000, 0.0000, 0.5000), Ir at (0.5000, 0.5000, 0.5000) and F at (0.0000, 0.0000, 0.0000).

The density comes out at 7.727 g/cm3. Its total energy is -32.37 eV for the cell shown.

# 12
Below is a relaxed Cr3IrF crystal, with properties calculated at the GGA+U level.

It has space group Pm-3m (No. 221), with a = 4.9623 Å, b = 4.9623 Å, c = 4.9623 Å, α = 90.00°, β = 90.00° and γ = 90.00°. The inequivalent atoms are Cr at (0.0000, 0.0000, 0.5000), Ir at (0.0000, 0.0000, 0.0000) and F at (0.5000, 0.5000, 0.5000).

The density comes out at 4.990 g/cm3. Its total energy is -29.94 eV for the cell shown.